No. 1
Nb12Sn3Sb: optimized geometry, GGA-PBE.

Structure (POSCAR):
```
Nb12Sn3Sb
1.0
-0.448 2.495 4.688
-3.564 -3.636 1.594
7.842 -5.967 3.925
Nb Sn Sb
12 3 1
Direct
0.000 0.500 0.376 Nb
0.000 0.500 0.876 Nb
0.500 0.247 0.000 Nb
0.500 0.248 0.500 Nb
0.750 0.000 0.251 Nb
0.750 0.000 0.749 Nb
0.000 0.500 0.124 Nb
0.000 0.500 0.624 Nb
0.500 0.753 0.000 Nb
0.500 0.752 0.500 Nb
0.250 0.000 0.251 Nb
0.250 0.000 0.749 Nb
0.500 0.500 0.250 Sn
0.500 0.500 0.750 Sn
0.000 0.000 0.000 Sn
0.000 0.000 0.500 Sb
```

Computed properties:
- E_form (uncorrected): -0.2189 eV/atom
- Symmetry: Pmmm

***

No. 2
MnCo4: optimized geometry, GGA-PBE.

Structure (POSCAR):
```
MnCo4
1.0
-2.367 -1.418 3.054
-0.947 -3.303 -2.267
3.232 -2.006 1.573
Mn Co
1 4
Direct
0.500 0.500 0.500 Mn
0.000 0.000 0.000 Co
0.500 0.000 0.500 Co
0.000 0.500 0.500 Co
0.500 0.500 0.000 Co
```

Computed properties:
- ΔE_f: 1.36 eV per atom
- Distance to the lowest polymorph of the same formula: 1277 meV/atom
- Symmetry: Pm-3m

***

No. 3
FeCuPt2: optimized geometry, GGA-PBE.

Structure (POSCAR):
```
FeCuPt2
1.0
-1.665 0.793 -2.005
1.595 -2.603 -2.354
-3.627 -3.644 1.572
Cu Pt Fe
1 2 1
Direct
0.000 0.000 0.498 Cu
0.000 0.000 0.980 Pt
0.500 0.500 0.272 Pt
0.500 0.500 0.750 Fe
```

Computed properties:
- ΔE_f: -0.16 eV per atom
- Symmetry: Pmm2

***

No. 4
Sm2BeNi12B3: optimized geometry, GGA-PBE.

Structure (POSCAR):
```
Sm2BeNi12B3
1.0
6.717 -0.276 -0.196
3.077 5.978 -0.196
3.077 1.791 5.706
Sm Be Ni B
2 1 12 3
Direct
0.614 0.614 0.614 Sm
0.386 0.386 0.386 Sm
0.000 0.000 0.000 Be
0.317 0.317 0.916 Ni
0.894 0.894 0.356 Ni
0.356 0.894 0.894 Ni
0.916 0.317 0.317 Ni
0.894 0.356 0.894 Ni
0.317 0.916 0.317 Ni
0.683 0.683 0.084 Ni
0.106 0.106 0.644 Ni
0.644 0.106 0.106 Ni
0.084 0.683 0.683 Ni
0.106 0.644 0.106 Ni
0.683 0.084 0.683 Ni
0.500 0.000 0.000 B
0.000 0.500 0.000 B
0.000 0.000 0.500 B
```

Computed properties:
- ΔE_f: -0.09 eV per atom
- Symmetry: R-3m

***

No. 5
Sr2ScGeO6: optimized geometry, GGA-PBE.

Structure (POSCAR):
```
Sr2ScGeO6
1.0
5.286 0.000 0.000
0.000 5.672 0.000
0.000 -2.836 4.912
Sr Sc Ge O
2 1 1 6
Direct
0.147 0.333 0.667 Sr
0.853 0.667 0.333 Sr
0.500 0.000 0.000 Sc
0.000 0.000 0.000 Ge
0.780 0.156 0.311 O
0.780 0.156 0.844 O
0.780 0.689 0.844 O
0.220 0.844 0.156 O
0.220 0.311 0.156 O
0.220 0.844 0.689 O
```

Computed properties:
- E_form (uncorrected): -2.3662 eV/atom
- Symmetry: P-3m1

***

No. 6
LiNdHgGe: optimized geometry, GGA-PBE.

Structure (POSCAR):
```
LiNdHgGe
1.0
-0.961 4.892 -0.885
-3.987 2.232 2.182
0.706 3.422 3.664
Ge Nd Hg Li
1 1 1 1
Direct
0.000 0.000 0.000 Ge
0.250 0.250 0.250 Nd
0.500 0.500 0.500 Hg
0.750 0.750 0.750 Li
```

Computed properties:
- ΔE_f: -0.50 eV per atom
- Symmetry: F-43m

***

No. 7
LaSm2Y6Er: optimized geometry, GGA-PBE.

Structure (POSCAR):
```
LaSm2Y6Er
1.0
9.237 -2.068 -2.147
0.800 8.575 -2.002
0.800 -2.318 8.495
La Sm Y Er
2 4 12 2
Direct
0.250 0.977 0.023 La
0.750 0.023 0.977 La
0.452 0.804 0.701 Sm
0.048 0.299 0.196 Sm
0.548 0.196 0.299 Sm
0.952 0.701 0.804 Sm
0.058 0.123 0.745 Y
0.442 0.255 0.877 Y
0.942 0.877 0.255 Y
0.558 0.745 0.123 Y
0.317 0.984 0.434 Y
0.183 0.566 0.016 Y
0.683 0.016 0.566 Y
0.817 0.434 0.984 Y
0.116 0.704 0.491 Y
0.384 0.509 0.296 Y
0.884 0.296 0.509 Y
0.616 0.491 0.704 Y
0.250 0.409 0.591 Er
0.750 0.591 0.409 Er
```

Computed properties:
- ΔE_f: 0.11 eV per atom
- Symmetry: C2/c

***

No. 8
AgSbIr: optimized geometry, GGA-PBE.

Structure (POSCAR):
```
AgSbIr
1.0
-3.002 0.273 3.266
-2.358 -3.586 1.157
0.764 -2.001 3.895
Sb Ir Ag
1 1 1
Direct
0.000 0.000 0.000 Sb
0.750 0.750 0.750 Ir
0.500 0.500 0.500 Ag
```

Computed properties:
- E_form (uncorrected): 0.0967 eV/atom
- Distance to the lowest polymorph of the same formula: 0 meV/atom
- Symmetry: F-43m

***

No. 9
TaInW: optimized geometry, GGA-PBE.

Structure (POSCAR):
```
TaInW
1.0
-2.505 -6.758 1.644
-2.536 -6.605 -1.269
2.333 -1.491 0.921
In Ta W
1 1 1
Direct
0.002 0.002 0.998 In
0.326 0.326 0.674 Ta
0.672 0.672 0.328 W
```

Computed properties:
- ΔE_f: 0.28 eV per atom
- Distance to the lowest polymorph of the same formula: 42 meV/atom
- Symmetry: Fmm2

***

No. 10
Na2Te2O: optimized geometry, GGA-PBE.

Structure (POSCAR):
```
Na2Te2O
1.0
-0.081 -3.651 -5.050
-3.239 -4.289 3.153
-4.797 -2.399 -2.033
Na Te O
2 2 1
Direct
0.750 0.250 0.500 Na
0.250 0.750 0.500 Na
0.292 0.292 0.415 Te
0.708 0.708 0.585 Te
0.000 0.000 0.000 O
```

Computed properties:
- E_form (uncorrected): -0.4505 eV/atom
- Distance to the lowest polymorph of the same formula: 0 meV/atom
- Symmetry: I4/mmm

***

No. 11
TbSmPd2: optimized geometry, GGA-PBE.

Structure (POSCAR):
```
TbSmPd2
1.0
5.029 0.000 0.000
2.515 4.356 0.000
2.515 1.452 4.106
Tb Pd Sm
1 2 1
Direct
0.000 0.000 0.000 Tb
0.250 0.250 0.250 Pd
0.750 0.750 0.750 Pd
0.500 0.500 0.500 Sm
```

Computed properties:
- ΔE_f: -0.82 eV per atom
- Distance to the lowest polymorph of the same formula: 53 meV/atom
- Symmetry: Fm-3m

***

No. 12
YScOsRu: optimized geometry, GGA-PBE.

Structure (POSCAR):
```
YScOsRu
1.0
-0.398 3.844 2.651
-2.505 3.654 -1.531
-4.100 1.041 2.018
Y Ru Os Sc
1 1 1 1
Direct
0.250 0.250 0.250 Y
0.500 0.500 0.500 Ru
0.000 0.000 0.000 Os
0.750 0.750 0.750 Sc
```

Computed properties:
- ΔE_f: -0.25 eV per atom
- Symmetry: F-43m